DFT (GGA-PBE) results for crystalline Cs2NpSbSe5 at its relaxed geometry.

```
Cs2NpSbSe5
1.0
4.440 0.000 0.000
-2.220 9.973 0.000
0.000 0.000 15.997
Se Cs Sb Np
10 4 2 2
direct
0.286 0.571 0.638 Se
0.319 0.639 0.413 Se
0.669 0.338 0.493 Se
0.714 0.429 0.138 Se
0.331 0.662 0.993 Se
0.503 0.007 0.789 Se
0.681 0.361 0.913 Se
0.932 0.864 0.554 Se
0.497 0.993 0.289 Se
0.068 0.136 0.054 Se
0.142 0.285 0.309 Cs
0.858 0.715 0.809 Cs
0.105 0.209 0.662 Cs
0.895 0.791 0.162 Cs
0.452 0.903 0.436 Sb
0.548 0.097 0.936 Sb
0.796 0.592 0.530 Np
0.204 0.408 0.030 Np
```

energy relative to the elements, uncorrected = -860 meV/atom
magnetic moment = 4.0 μB per cell